1.
## Dy4GeSeS2 (GGA-PBE)

Data for Dy4GeSeS2 after structural relaxation.

The structure in POSCAR format:
```
Dy4GeSeS2
1.0
-2.4966 -1.6261 2.7029
2.9021 -6.2038 -1.0516
5.3540 -0.8617 4.4270
Se Dy S Ge
1 4 2 1
Direct
0.0000 0.5000 0.5000 Se
0.0000 0.7529 0.7554 Dy
0.0000 0.2471 0.2446 Dy
0.5000 0.2403 0.7633 Dy
0.5000 0.7597 0.2367 Dy
0.0000 0.0000 0.0000 S
0.5000 0.0000 0.5000 S
0.5000 0.5000 0.0000 Ge
```



2.
## KTeCl6 (GGA-PBE)

Data for KTeCl6 after structural relaxation.

The structure in POSCAR format:
```
KTeCl6
1.0
-4.6201 -4.7701 -2.2110
-2.2126 -5.0112 4.3566
-7.1255 0.5466 2.6321
Cl Te K
6 1 1
Direct
0.0925 0.5937 0.2212 Cl
0.9075 0.9075 0.7788 Cl
0.4063 0.9075 0.7788 Cl
0.0925 0.0925 0.2212 Cl
0.9075 0.4063 0.7788 Cl
0.5937 0.0925 0.2212 Cl
0.0000 0.0000 0.0000 Te
0.5000 0.5000 0.5000 K
```



Number 1: formation energy from raw total energies -1707 meV/atom. Number 2: formation energy from raw total energies -818 meV/atom.